Record 1
The following is a DFT calculation (PBE) of a relaxed structure of SrZnRh2.

Cell lengths 3.4098, 5.0812, 8.6279 Å; angles 90.00, 90.00, 90.00 degrees
Space group Immm (No. 71)
Asymmetric unit:
Sr: 0.0000 0.0000 0.0000 x2
Zn: 0.0000 0.0000 0.5000 x2
Rh: 0.0000 0.5000 0.2220 x4

The calculation puts the total energy at -35.0 eV per cell. The value obtained for the density of states at the Fermi level is 7.7 states/eV/cell. The calculation puts the total moment at 0.00 μB per cell. As for the crystal system: orthorhombic.

Record 2
The following is a DFT calculation (PBE) of a relaxed structure of SrZn5Rh2.

Cell lengths 4.0943, 7.3966, 10.0535 Å; angles 90.00, 90.00, 90.00 degrees
Space group Immm (No. 71)
Asymmetric unit:
Sr: 0.0000 0.0000 0.0000 x2
Zn: 0.0000 0.1824 0.3375 x8
Zn: 0.0000 0.5000 0.0000 x2
Rh: 0.0000 0.5000 0.2450 x4

The calculation puts the total energy at -50.4 eV per cell. The value obtained for the density of states at the Fermi level is 7.3 states/eV/cell. The calculation puts the total moment at 0.00 μB per cell. As for the crystal system: orthorhombic.

Record 3
The following is a DFT calculation (PBE) of a relaxed structure of SrZnRh2.

Cell lengths 3.3565, 3.3565, 6.8596 Å; angles 90.00, 90.00, 90.00 degrees
Space group P4mm (No. 99)
Asymmetric unit:
Sr: 0.0000 0.0000 0.0000 x1
Zn: 0.5000 0.5000 0.3481 x1
Rh: 0.0000 0.0000 0.4906 x1
Rh: 0.5000 0.5000 0.7223 x1

The calculation puts the total energy at -17.6 eV per cell. The value obtained for the density of states at the Fermi level is 5.4 states/eV/cell. The calculation puts the total moment at 0.25 μB per cell. As for the crystal system: tetragonal.

Record 4
The following is a DFT calculation (PBE) of a relaxed structure of SrZnRh.

Cell lengths 5.0391, 9.0537, 6.6303 Å; angles 90.00, 90.00, 90.00 degrees
Space group Imma (No. 74)
Asymmetric unit:
Sr: 0.0000 0.0000 0.0000 x4
Zn: 0.0000 0.2500 0.4061 x4
Rh: 0.2500 0.2500 0.7500 x4

The calculation puts the total energy at -43.4 eV per cell. The value obtained for the density of states at the Fermi level is 8.8 states/eV/cell. The calculation puts the total moment at 0.00 μB per cell. As for the crystal system: orthorhombic.

Record 5
The following is a DFT calculation (PBE) of a relaxed structure of SrZr2Rh2.

Cell lengths 8.1657, 8.1657, 3.2316 Å; angles 90.00, 90.00, 90.00 degrees
Space group P4/mbm (No. 127)
Asymmetric unit:
Sr: 0.0000 0.0000 0.0000 x2
Zr: 0.1455 0.3545 0.5000 x4
Rh: 0.1371 0.6371 0.0000 x4

The value obtained for the density of states at the Fermi level is 10.5 states/eV/cell. As for the relative energy among the computed polymorphs: 0.00 eV per formula unit. The calculation puts the total moment at 0.00 μB per cell. As for the crystal system: tetragonal.

Record 6
The following is a DFT calculation (PBE) of a relaxed structure of Sr2ZrRh.

Cell lengths 3.4692, 4.8654, 6.4349 Å; angles 90.00, 90.00, 90.00 degrees
Space group Pmmm (No. 47)
Asymmetric unit:
Sr: 0.0000 0.0000 0.2321 x2
Zr: 0.5000 0.5000 0.5000 x1
Rh: 0.5000 0.5000 0.0000 x1

The value obtained for the density of states at the Fermi level is 4.2 states/eV/cell. As for the relative energy among the computed polymorphs: 2.38 eV per formula unit. The calculation puts the total moment at 0.00 μB per cell. As for the crystal system: orthorhombic.

- total moment of number 4 (SrZnRh)?
  0.00 μB per cell